1.
Compound: Li3LaRh
Source: Alexandria via LeMat-Bulk
Functional: GGA-PBEsol
Structure: relaxed Values from VASP.

The structure in Quantum ESPRESSO input format:
```
&SYSTEM
  ibrav = 0, nat = 5, ntyp = 3
/
ATOMIC_SPECIES
Li 6.94 Li.upf
La 138.91 La.upf
Rh 102.91 Rh.upf
CELL_PARAMETERS angstrom
4.659 0.000 0.000
0.000 4.659 0.000
0.000 0.000 4.659
ATOMIC_POSITIONS angstrom
Li 0.000 0.000 2.330
Li 0.000 2.330 0.000
Li 2.330 0.000 0.000
La 2.330 2.330 2.330
Rh 0.000 0.000 0.000
```

Results
**Space group**: No. 221
**Crystal system**: cubic
**Formation energy**: 0.216 eV per atom



2.
Compound: MnCo2Ru
Source: Alexandria via LeMat-Bulk
Functional: GGA-PBEsol
Structure: relaxed Values from VASP.

The structure in Quantum ESPRESSO input format:
```
&SYSTEM
  ibrav = 0, nat = 4, ntyp = 3
/
ATOMIC_SPECIES
Mn 54.94 Mn.upf
Co 58.93 Co.upf
Ru 101.07 Ru.upf
CELL_PARAMETERS angstrom
-1.644 -0.600 -1.772
1.855 -0.224 -1.646
0.669 -6.810 1.683
ATOMIC_POSITIONS angstrom
Mn 0.106 -0.412 -1.709
Co 0.160 -1.624 0.401
Co 0.510 -5.185 1.282
Ru 0.440 -3.817 -0.867
```

Results
**Space group**: No. 123
**Crystal system**: tetragonal
**E above lowest polymorph**: 0.069 eV per formula unit
**Formation energy**: 0.128 eV per atom



3.
Compound: OsRh3
Source: Alexandria via LeMat-Bulk
Functional: GGA-PBEsol
Structure: relaxed Values from VASP.

The structure in Quantum ESPRESSO input format:
```
&SYSTEM
  ibrav = 0, nat = 4, ntyp = 2
/
ATOMIC_SPECIES
Rh 102.91 Rh.upf
Os 190.23 Os.upf
CELL_PARAMETERS angstrom
2.701 0.000 0.000
-1.351 2.339 0.000
0.000 0.000 8.627
ATOMIC_POSITIONS angstrom
Rh 1.351 0.780 6.508
Rh 1.351 0.780 2.118
Rh 0.000 0.000 4.313
Os 0.000 0.000 0.000
```

Results
**Space group**: No. 187
**Crystal system**: hexagonal
**Formation energy**: 0.026 eV per atom



4.
Compound: Zr6Cr7
Source: Alexandria via LeMat-Bulk
Functional: GGA-PBEsol
Structure: relaxed Values from VASP.

The structure in Quantum ESPRESSO input format:
```
&SYSTEM
  ibrav = 0, nat = 13, ntyp = 2
/
ATOMIC_SPECIES
Zr 91.22 Zr.upf
Cr 52.00 Cr.upf
CELL_PARAMETERS angstrom
4.949 0.000 0.000
2.474 4.286 0.000
2.474 1.429 9.668
ATOMIC_POSITIONS angstrom
Zr 7.423 4.286 4.346
Zr 2.474 1.429 8.280
Zr 7.423 4.286 9.659
Zr 2.474 1.429 0.009
Zr 7.423 4.286 1.388
Zr 2.474 1.429 5.322
Cr 6.199 2.135 2.761
Cr 3.698 3.579 6.906
Cr 6.199 3.579 6.906
Cr 4.949 1.413 6.906
Cr 4.949 4.301 2.761
Cr 4.949 2.857 4.834
Cr 3.698 2.135 2.761
```

Results
**Space group**: No. 166
**Crystal system**: trigonal
**Formation energy**: 0.065 eV per atom



5.
Compound: PdAuOF2
Source: Alexandria via LeMat-Bulk
Functional: GGA-PBEsol
Structure: relaxed Values from VASP.

The structure in Quantum ESPRESSO input format:
```
&SYSTEM
  ibrav = 0, nat = 5, ntyp = 4
/
ATOMIC_SPECIES
Au 196.97 Au.upf
F 19.00 F.upf
O 16.00 O.upf
Pd 106.42 Pd.upf
CELL_PARAMETERS angstrom
-3.807 -0.111 1.120
-1.044 -1.135 -3.658
0.574 -5.165 1.439
ATOMIC_POSITIONS angstrom
Au 0.000 0.000 0.000
F -1.903 -0.055 0.560
F -0.522 -0.567 -1.829
O -2.138 -3.205 -0.549
Pd 0.287 -2.583 0.719
```

Results
**Energy relative to the elements, uncorrected**: 0.31 eV/atom
**Space group**: No. 123
**Crystal system**: tetragonal



6.
Compound: SrSb2
Source: Alexandria via LeMat-Bulk
Functional: GGA-PBEsol
Structure: relaxed Values from VASP.

The structure in Quantum ESPRESSO input format:
```
&SYSTEM
  ibrav = 0, nat = 3, ntyp = 2
/
ATOMIC_SPECIES
Sb 121.76 Sb.upf
Sr 87.62 Sr.upf
CELL_PARAMETERS angstrom
4.148 0.000 0.000
-2.074 3.592 0.000
0.000 0.000 6.777
ATOMIC_POSITIONS angstrom
Sb 2.074 1.197 4.282
Sb 0.000 2.395 2.496
Sr 0.000 0.000 0.000
```

Results
**Energy relative to the elements, uncorrected**: -0.23 eV/atom
**Space group**: No. 164
**Crystal system**: trigonal



7.
Compound: ZrAl2Cl
Source: Alexandria via LeMat-Bulk
Functional: GGA-PBEsol
Structure: relaxed Values from VASP.

The structure in Quantum ESPRESSO input format:
```
&SYSTEM
  ibrav = 0, nat = 4, ntyp = 3
/
ATOMIC_SPECIES
Al 26.98 Al.upf
Zr 91.22 Zr.upf
Cl 35.45 Cl.upf
CELL_PARAMETERS angstrom
-3.716 0.913 0.317
-0.815 -2.283 -2.977
1.611 -3.029 4.357
ATOMIC_POSITIONS angstrom
Al -2.185 -1.401 1.672
Al -0.734 -2.999 0.025
Zr 0.000 0.000 0.000
Cl -2.265 -0.685 -1.330
```

Results
**Energy relative to the elements, uncorrected**: -0.23 eV/atom
**Space group**: No. 139
**Crystal system**: tetragonal
**E above lowest polymorph**: 0.298 eV per formula unit



8.
Compound: RuW2Au
Source: Alexandria via LeMat-Bulk
Functional: GGA-PBEsol
Structure: relaxed Values from VASP.

The structure in Quantum ESPRESSO input format:
```
&SYSTEM
  ibrav = 0, nat = 4, ntyp = 3
/
ATOMIC_SPECIES
W 183.84 W.upf
Ru 101.07 Ru.upf
Au 196.97 Au.upf
CELL_PARAMETERS angstrom
3.002 0.000 0.000
0.000 4.580 0.000
-1.501 -2.290 4.562
ATOMIC_POSITIONS angstrom
W 1.501 0.000 2.116
W 1.501 2.290 4.521
Ru 0.000 2.290 2.447
Au 1.501 2.290 0.040
```

Results
**Space group**: No. 44
**Crystal system**: orthorhombic
**E above lowest polymorph**: 1.228 eV per formula unit
**Formation energy**: 0.467 eV per atom



9.
Compound: K4Ta3NbO12
Source: Alexandria via LeMat-Bulk
Functional: GGA-PBEsol
Structure: relaxed Values from VASP.

The structure in Quantum ESPRESSO input format:
```
&SYSTEM
  ibrav = 0, nat = 20, ntyp = 4
/
ATOMIC_SPECIES
O 16.00 O.upf
Ta 180.95 Ta.upf
Nb 92.91 Nb.upf
K 39.10 K.upf
CELL_PARAMETERS angstrom
-5.414 1.063 -1.227
-3.538 -4.268 -1.102
-5.122 -1.610 8.187
ATOMIC_POSITIONS angstrom
O -1.757 -0.601 0.728
O -7.047 -3.947 1.636
O -7.989 -1.269 1.573
O -5.269 -1.803 2.190
O -12.318 -4.214 5.130
O -8.806 -3.013 3.668
O -7.029 -0.869 4.222
O -9.609 -4.746 5.744
O -6.086 -3.547 4.285
O -10.547 -2.079 5.681
O -3.528 -2.737 0.177
O -4.466 -0.070 0.114
Ta -10.559 -3.613 4.404
Ta -3.516 -1.203 1.453
Ta 0.000 0.000 0.000
Nb -7.038 -2.408 2.929
K -6.237 -2.205 -0.428
K -4.319 -1.407 4.821
K -9.756 -3.409 1.036
K -7.838 -2.611 6.286
```

Results
**Energy relative to the elements, uncorrected**: -2.64 eV/atom
**Space group**: No. 166
**Crystal system**: trigonal



10.
Compound: Sb5P3
Source: Alexandria via LeMat-Bulk
Functional: GGA-PBEsol
Structure: relaxed Values from VASP.

The structure in Quantum ESPRESSO input format:
```
&SYSTEM
  ibrav = 0, nat = 8, ntyp = 2
/
ATOMIC_SPECIES
Sb 121.76 Sb.upf
P 30.97 P.upf
CELL_PARAMETERS angstrom
-1.358 4.719 -0.536
-2.132 -1.247 -5.580
-4.416 -0.801 4.135
ATOMIC_POSITIONS angstrom
Sb -1.066 -0.624 -2.790
Sb 0.000 0.000 0.000
Sb -2.208 -0.400 2.067
Sb -2.484 1.795 -0.666
Sb -5.422 0.876 -1.315
P -3.274 -1.024 -0.723
P -4.490 1.441 1.294
P -3.416 1.231 -3.276
```

Results
**Energy relative to the elements, uncorrected**: 0.38 eV/atom
**Space group**: No. 65
**Crystal system**: orthorhombic